16
Lattice="5.9631 0.0000 0.0000 0.0000 3.9180 0.0000 0.0000 0.0000 13.3396" Properties=species:S:1:pos:R:3 comment="SrCoSO, relaxed, DFT PBE+U" m_tot_mub_per_cell=12.00 spacegroup=Pnma total_energy_ev_per_atom=-5.566 crystal_system=orthorhombic pbc="T T T"
Sr 1.4912 0.9795 1.2731
Sr 1.4904 2.9385 7.9429
Sr 4.4727 0.9795 5.3967
Sr 4.4719 2.9385 12.0665
Co 1.0118 0.9795 10.9104
Co 1.9698 2.9385 4.2406
Co 3.9933 0.9795 9.0990
Co 4.9513 2.9385 2.4292
S 1.4798 0.9795 5.5364
S 1.5017 2.9385 12.2062
S 4.4614 0.9795 1.1334
S 4.4833 2.9385 7.8032
O 0.9667 2.9385 2.6010
O 2.0149 0.9795 9.2708
O 3.9482 2.9385 4.0688
O 4.9964 0.9795 10.7386

=====

32
Lattice="5.9767 0.0000 0.0000 0.0000 7.8478 0.0000 0.0000 0.0000 13.1923" Properties=species:S:1:pos:R:3 comment="SrCoSO, relaxed, DFT PBE+U" m_tot_mub_per_cell=24.00 spacegroup=Pbca total_energy_ev_per_atom=-5.562 crystal_system=orthorhombic pbc="T T T"
Sr 1.4825 0.9710 1.2905
Sr 1.4825 2.9530 7.8866
Sr 1.5058 4.8949 1.2905
Sr 1.5058 6.8769 7.8866
Sr 4.4709 0.9710 5.3057
Sr 4.4709 2.9530 11.9018
Sr 4.4941 4.8949 5.3057
Sr 4.4941 6.8769 11.9018
Co 1.0558 4.9059 10.8260
Co 1.0558 6.8659 4.2298
Co 1.9326 0.9819 10.8260
Co 1.9326 2.9420 4.2298
Co 4.0441 4.9059 8.9625
Co 4.0441 6.8659 2.3664
Co 4.9209 0.9819 8.9625
Co 4.9209 2.9420 2.3664
S 1.4892 0.9822 5.5257
S 1.4892 2.9418 12.1219
S 1.4991 4.9061 5.5257
S 1.4991 6.8657 12.1219
S 4.4776 0.9822 1.0704
S 4.4776 2.9418 7.6666
S 4.4874 4.9061 1.0704
S 4.4874 6.8657 7.6666
O 0.9119 0.9886 9.1985
O 0.9119 2.9354 2.6024
O 2.0765 4.9125 9.1985
O 2.0765 6.8593 2.6024
O 3.9002 0.9886 10.5899
O 3.9002 2.9354 3.9938
O 5.0648 4.9125 10.5899
O 5.0648 6.8593 3.9938